Here is crystalline Dy3Sc4Co4 at its relaxed geometry from Alexandria. Energies are from PBE.

```
Dy3Sc4Co4
1.0
-1.620 -1.356 2.867
6.558 -5.058 1.315
0.654 8.346 2.105
Dy Sc Co
3 4 4
Direct
0.000 0.500 0.000
0.892 0.892 0.784
0.108 0.108 0.216
0.668 0.483 0.335
0.332 0.517 0.665
0.332 0.147 0.665
0.668 0.853 0.335
0.500 0.788 0.000
0.240 0.740 0.481
0.500 0.212 0.000
0.760 0.260 0.519
```

Properties
The value obtained for the total magnetization is 0.00 μB/atom. As for the formation energy from the elements: -201 kJ/mol of formula units.